[1]
Ce4IrCCl2 | PBE | relaxed

a b c (Å): 3.8425 6.8986 7.4492
angles (deg): 107.18 90.00 90.00
Last column: nearest neighbours and their distance in Å.
Sites, in units of the cell vectors:
Ir 0.5000 0.5000 0.0000  6 Ce 2.78-2.81
Cl 0.5000 0.0000 0.5000  6 Ce 3.00-3.02
Cl 0.0000 0.5000 0.5000  6 Ce 3.16-3.23
Ce 0.5000 0.2127 0.1996  2 C 2.60, 1 Ir 2.81
Ce 0.0000 0.2357 0.7934  1 C 2.55, 2 Ir 2.78
Ce 0.5000 0.7873 0.8004  2 C 2.60, 1 Ir 2.81
Ce 0.0000 0.7643 0.2066  1 C 2.55, 2 Ir 2.78
C 0.0000 0.0000 0.0000  6 Ce 2.55-2.60

Values from the calculation:
N(E_F) = 19.433 states/eV/cell
crystal system = monoclinic

[2]
La2CeC2Cl2 | PBE | relaxed

a b c (Å): 4.6851 4.6851 8.1318
angles (deg): 106.74 106.74 90.00
Last column: nearest neighbours and their distance in Å.
Sites, in units of the cell vectors:
La 0.3967 0.3967 0.7934  4 C 2.80, 1 Cl 2.99, 1 La 3.07
La 0.6033 0.6033 0.2066  4 C 2.80, 1 Cl 2.99, 1 La 3.07
Ce 0.0000 0.0000 0.0000  4 C 2.34
Cl 0.1956 0.1956 0.3913  1 Ce 2.91, 1 La 2.99
Cl 0.8044 0.8044 0.6087  1 Ce 2.91, 1 La 2.99
C 0.0000 0.5000 0.0000  2 Ce 2.34
C 0.5000 0.0000 0.0000  2 Ce 2.34

Values from the calculation:
N(E_F) = 3.035 states/eV/cell
crystal system = tetragonal

[3]
LaCeCCl | PBE | relaxed

a b c (Å): 3.7370 3.7370 7.6951
angles (deg): 90.00 104.05 120.00
Last column: nearest neighbours and their distance in Å.
Sites, in units of the cell vectors:
Ce 0.0951 0.9455 0.0559  3 C 2.51
Cl 0.9626 0.3793 0.3571  3 Ce 3.10, 3 La 3.18
La 0.5070 0.1514 0.6736  3 C 2.65
C 0.3132 0.5545 0.8831  3 Ce 2.51, 3 La 2.65

Values from the calculation:
N(E_F) = 4.302 states/eV/cell
crystal system = trigonal

| no. | formation energy (no corrections) (eV per formula unit) | calculated total energy (eV/atom) | total magnetic moment (μB per cell) |
| --- | --- | --- | --- |
| 1 | -7.993 | -6.688 | 3.46 |
| 2 | -6.285 | -6.316 | 0.00 |
| 3 | -3.951 | -6.471 | 0.54 |